1.
Here is MnCuAsS4 after structural relaxation from Alexandria via LeMat-Bulk. Energies are from PBE-GGA.

Calculated values
- Formation energy (no corrections): -323.1 meV/atom
- Spin magnetization: 3.00 μB/f.u.
- Calculated density: 4.2 Mg/m³

Lattice parameters (Å, degrees): 7.118 7.118 7.118 120.23 120.15 89.67
Sites, in units of the cell vectors:
Mn 0.000 0.000 0.000
Mn 0.500 0.000 0.500
Cu 0.372 0.622 0.750
Cu 0.628 0.378 0.250
As 0.000 0.000 0.500
As 0.000 0.500 0.000
S 0.234 0.233 0.001
S 0.249 0.228 0.480
S 0.249 0.769 0.020
S 0.268 0.767 0.501
S 0.732 0.233 0.499
S 0.751 0.231 0.980
S 0.751 0.772 0.520
S 0.766 0.767 0.999

2.
Here is MnCuAsSe2 after structural relaxation from Alexandria via LeMat-Bulk. Energies are from PBE-GGA.

Calculated values
- Formation energy (no corrections): 504.2 meV/atom
- Spin magnetization: 2.59 μB/f.u.
- Calculated density: 5.5 Mg/m³
- E above lowest polymorph: 0.000 eV per atom

Lattice parameters (Å, degrees): 4.810 4.810 4.616 90.00 90.00 90.00
Sites, in units of the cell vectors:
Mn 0.000 0.000 0.000
Cu 0.500 0.500 0.500
As 0.000 0.000 0.500
Se 0.000 0.500 0.000
Se 0.500 0.000 0.000

3.
Here is CuMo2As after structural relaxation from Alexandria via LeMat-Bulk. Energies are from PBE-GGA.

Calculated values
- Spin magnetization: 0.00 μB/f.u.
- Calculated formation energy: 227 meV per atom
- Calculated density: 9.1 Mg/m³

Lattice parameters (Å, degrees): 2.802 4.068 5.414 90.00 102.96 90.00
Sites, in units of the cell vectors:
Cu 0.000 0.000 0.000
Mo 0.308 0.500 0.756
Mo 0.692 0.500 0.244
As 0.500 0.000 0.500

4.
Here is CuMo2As after structural relaxation from Alexandria via LeMat-Bulk. Energies are from PBE-GGA.

Calculated values
- Spin magnetization: 0.00 μB/f.u.
- Calculated formation energy: 186 meV per atom
- Calculated density: 9.4 Mg/m³

Lattice parameters (Å, degrees): 4.488 4.488 2.884 90.00 90.00 90.00
Sites, in units of the cell vectors:
Cu 0.000 0.000 0.000
Mo 0.000 0.500 0.500
Mo 0.500 0.000 0.500
As 0.500 0.500 0.000

5.
Here is CuMo2As after structural relaxation from Alexandria via LeMat-Bulk. Energies are from PBE-GGA.

Calculated values
- Spin magnetization: 0.00 μB/f.u.
- Calculated formation energy: 441 meV per atom
- Calculated density: 8.5 Mg/m³

Lattice parameters (Å, degrees): 3.697 3.697 18.816 90.00 90.00 90.00
Sites, in units of the cell vectors:
Cu 0.000 0.000 0.000
Cu 0.000 0.500 0.250
Cu 0.500 0.000 0.750
Cu 0.500 0.500 0.500
Mo 0.236 0.250 0.125
Mo 0.250 0.736 0.375
Mo 0.250 0.764 0.875
Mo 0.264 0.250 0.625
Mo 0.736 0.750 0.625
Mo 0.750 0.236 0.875
Mo 0.750 0.264 0.375
Mo 0.764 0.750 0.125
As 0.000 0.000 0.500
As 0.000 0.500 0.750
As 0.500 0.000 0.250
As 0.500 0.500 0.000

6.
Here is Cu2MoAs after structural relaxation from Alexandria via LeMat-Bulk. Energies are from PBE-GGA.

Calculated values
- Spin magnetization: 0.00 μB/f.u.
- Calculated formation energy: 203 meV per atom
- Calculated density: 8.6 Mg/m³

Lattice parameters (Å, degrees): 2.722 4.332 5.011 90.00 104.35 90.00
Sites, in units of the cell vectors:
Cu 0.104 0.000 0.249
Cu 0.896 0.000 0.751
Mo 0.500 0.500 0.000
As 0.000 0.500 0.500